Record 1
A relaxed Zn2In2Ga3 crystal. Source: Alexandria via LeMat-Bulk, functional PBE-GGA.

```
Zn2In2Ga3
1.0
-2.115 -2.833 2.050
5.246 -0.851 0.165
0.077 4.156 5.823
Zn In Ga
2 2 3
Direct
0.082 0.164 0.645
0.918 0.836 0.355
0.633 0.265 0.332
0.367 0.735 0.668
0.319 0.638 0.117
0.000 0.000 0.000
0.681 0.362 0.883
```

spin magnetization = 0.00 μB/atom
ΔH_f (0 K) = 0.047 eV/atom



Record 2
A relaxed ZnSbF2 crystal. Source: Alexandria via LeMat-Bulk, functional PBE-GGA.

```
ZnSbF2
1.0
0.000 3.150 3.150
3.150 0.000 3.150
3.150 3.150 0.000
Sb Zn F
1 1 2
Direct
0.500 0.500 0.500
0.000 0.000 0.000
0.250 0.250 0.250
0.750 0.750 0.750
```

spin magnetization = 0.00 μB/atom
ΔE_f (raw) = -843 meV per atom



Record 3
A relaxed Pr6Ru2Br3O crystal. Source: Alexandria via LeMat-Bulk, functional PBE-GGA.

```
Pr6Ru2Br3O
1.0
6.946 0.003 0.002
-3.469 6.018 0.002
-1.158 -2.004 7.849
Pr Ru Br O
6 2 3 1
Direct
0.936 0.617 0.810
0.746 0.746 0.191
0.064 0.383 0.190
0.617 0.936 0.810
0.254 0.254 0.809
0.383 0.064 0.190
0.334 0.666 0.000
0.666 0.334 0.000
0.171 0.829 0.500
0.829 0.171 0.500
0.500 0.500 0.500
0.000 0.000 0.000
```

spin magnetization = 0.00 μB/atom
ΔE_f (raw) = -1166 meV per atom



Record 4
A relaxed ScAg2As crystal. Source: Alexandria via LeMat-Bulk, functional PBE-GGA.

```
ScAg2As
1.0
-0.542 3.583 1.393
-3.556 0.067 -1.556
-6.069 -2.288 8.928
Sc As Ag
2 2 4
Direct
0.500 0.500 0.000
0.250 0.750 0.500
0.000 0.000 0.000
0.750 0.250 0.500
0.628 0.125 0.250
0.122 0.625 0.250
0.375 0.372 0.750
0.875 0.878 0.750
```

spin magnetization = 0.00 μB/atom
ΔH_f (0 K) = -0.345 eV/atom